This record from Alexandria via LeMat-Bulk describes Rb2NaCrF6 at its PBEsol-relaxed geometry. The functional is meta-GGA SCAN.

Lattice parameters (Å, degrees): 5.9243 5.9243 5.9243 60.00 60.00 60.00
Closest atoms and distances in Å follow each position.
Positions (direct):
F  0.2286  0.2286  0.7714  1 Cr 1.92
F  0.7714  0.7714  0.2286  1 Cr 1.92
F  0.7714  0.2286  0.2286  1 Cr 1.92
F  0.2286  0.7714  0.7714  1 Cr 1.92
F  0.7714  0.2286  0.7714  1 Cr 1.92
F  0.2286  0.7714  0.2286  1 Cr 1.92
Na  0.5000  0.5000  0.5000  6 F 2.27
Cr  0.0000  0.0000  0.0000  6 F 1.92
Rb  0.2500  0.2500  0.2500  12 F 2.97
Rb  0.7500  0.7500  0.7500  12 F 2.97

Output
- crystal system = cubic
- total magnetic moment (μB/f.u.) = 3.00
- total energy (eV per cell) = -116.991

This record from Alexandria via LeMat-Bulk describes SmErRu2 at its PBEsol-relaxed geometry. The functional is meta-GGA SCAN.

Lattice parameters (Å, degrees): 4.7529 4.7529 4.7529 60.00 60.00 60.00
Closest atoms and distances in Å follow each position.
Positions (direct):
Sm  0.5000  0.5000  0.5000  8 Ru 2.91
Ru  0.7500  0.7500  0.7500  4 Er 2.91, 4 Sm 2.91
Ru  0.2500  0.2500  0.2500  4 Sm 2.91, 4 Er 2.91
Er  0.0000  0.0000  0.0000  8 Ru 2.91

Output
- crystal system = cubic
- total magnetic moment (μB/f.u.) = 0.00
- E_form (eV/atom) = -0.3648
- total energy (eV per cell) = -165.894

This record from Alexandria via LeMat-Bulk describes AlSe at its PBEsol-relaxed geometry. The functional is meta-GGA SCAN.

Lattice parameters (Å, degrees): 3.3997 3.5093 7.1772 90.00 90.00 90.00
Closest atoms and distances in Å follow each position.
Positions (direct):
Se  0.7500  0.5000  0.2802  4 Al 2.59
Se  0.2500  0.5000  0.7198  4 Al 2.59
Al  0.2500  0.0000  0.1590  4 Se 2.59, 2 Al 2.85
Al  0.7500  0.0000  0.8410  4 Se 2.59, 2 Al 2.85

Output
- crystal system = orthorhombic
- total magnetic moment (μB/f.u.) = 0.00
- total energy (eV per cell) = -57.047

This record from Alexandria via LeMat-Bulk describes CaTiNb2Pt at its PBEsol-relaxed geometry. The functional is meta-GGA SCAN.

Lattice parameters (Å, degrees): 4.8168 4.9690 4.9690 90.00 90.00 90.00
Closest atoms and distances in Å follow each position.
Positions (direct):
Nb  0.0000  0.0000  0.5000  2 Pt 2.48
Nb  0.0000  0.5000  0.0000  2 Pt 2.48
Pt  0.0000  0.0000  0.0000  2 Ti 2.41, 4 Nb 2.48
Ti  0.5000  0.0000  0.0000  2 Pt 2.41
Ca  0.5000  0.5000  0.5000  8 Nb 3.46, 4 Ti 3.51

Output
- crystal system = tetragonal
- total magnetic moment (μB/f.u.) = 0.78
- E_form (eV/atom) = 0.4357
- total energy (eV per cell) = -159.967

Number 2 is which compound? SmErRu2

What is the formula in the third record? AlSe